A relaxed MnIrF6 crystal. Source: Alexandria via LeMat-Bulk, functional PBE+U.

Lattice parameters (Å, degrees): 5.1055 5.1055 5.2204 96.40 96.40 118.21
Last column: nearest neighbours and their distance in Å.
Fractional positions:
Mn  0.0000  0.0000  0.0000  6 F 2.14-2.16
Ir  0.5000  0.5000  0.5000  6 F 1.95-1.99
F  0.5801  0.8696  0.7417  1 Ir 1.99, 1 Mn 2.16
F  0.8696  0.5801  0.7417  1 Ir 1.99, 1 Mn 2.16
F  0.1304  0.4199  0.2583  1 Ir 1.99, 1 Mn 2.16
F  0.4199  0.1304  0.2583  1 Ir 1.99, 1 Mn 2.16
F  0.2504  0.2504  0.7268  1 Ir 1.95, 1 Mn 2.14
F  0.7496  0.7496  0.2732  1 Ir 1.95, 1 Mn 2.14

Summary:
Space-group type: C2/m (12)
Calculated total energy (eV per atom): -5.34
N(E_F) (states/eV per cell): 6.45
M_tot (μB/cell): 6.0
Crystal system: monoclinic